Record 1
A relaxed CdSnTeO crystal, computed with PBE.

**VASP energy**: -61.53 eV for the cell shown
**Crystal system**: orthorhombic
**Space-group type**: Pnma
**Calculated density**: 6.60 Mg/m³
**Energy above the most stable polymorph in this dataset**: 0.51 eV per formula unit

Geometry as POSCAR:
```
CdSnTeO
1.0
6.8614 0.0000 0.0000
0.0000 4.0364 0.0000
0.0000 0.0000 13.6097
Cd O Sn Te
4 4 4 4
Cartesian
4.7854 1.0091 13.1606
5.5067 3.0273 6.3558
2.0760 3.0273 0.4491
1.3547 1.0091 7.2539
3.0117 1.0091 1.1586
6.4424 1.0091 5.6462
3.8497 3.0273 12.4511
0.4190 3.0273 7.9635
0.7306 1.0091 3.8855
2.7001 3.0273 10.6904
6.1308 3.0273 9.7242
4.1613 1.0091 2.9194
0.6199 1.0091 11.9219
6.2415 3.0273 1.6878
2.8108 3.0273 5.1170
4.0506 1.0091 8.4927
```

***

Record 2
A relaxed Ba2CoTe3 crystal, computed with PBE.

**Total magnetic moment**: 11.23 Bohr magnetons per cell
**VASP energy**: -107.08 eV for the cell shown
**Crystal system**: orthorhombic
**Space-group type**: Pnma
**Calculated density**: 5.60 Mg/m³

Geometry as POSCAR:
```
Ba2CoTe3
1.0
9.5845 0.0000 0.0000
0.0000 4.7301 0.0000
0.0000 0.0000 18.7573
Te Co Ba
12 4 8
Cartesian
6.3923 3.5476 14.4766
9.3838 3.5476 2.0203
6.0301 1.1825 1.2316
4.9928 1.1825 11.3989
0.2006 1.1825 16.7370
4.5916 3.5476 7.3584
3.1922 1.1825 4.2807
7.9844 1.1825 5.0980
1.2378 1.1825 8.1471
3.5544 3.5476 17.5257
1.6000 3.5476 13.6594
8.3466 3.5476 10.6103
8.2789 1.1825 2.5066
6.0977 3.5476 11.8852
3.4867 1.1825 6.8721
1.3055 3.5476 16.2507
3.8246 1.1825 14.8759
8.6168 1.1825 13.2601
2.5470 3.5476 10.2880
7.3392 3.5476 17.8480
0.9676 3.5476 5.4972
2.2452 1.1825 0.9094
5.7599 3.5476 3.8814
7.0374 1.1825 8.4693
```